1.
! MnMoP | Alexandria | PBE | relaxed; values from VASP
! Space group: P2_1/m
! Formation energy: -0.53 eV/atom
&SYSTEM
  ibrav = 0, nat = 18, ntyp = 3
/
ATOMIC_SPECIES
Mn 54.94 Mn.upf
Mo 95.94 Mo.upf
P 30.97 P.upf
CELL_PARAMETERS angstrom
3.7180 0.0000 0.0000
0.0000 5.9576 0.0086
0.0000 0.0334 10.1523
ATOMIC_POSITIONS angstrom
Mn 0.9295 2.1539 2.0812
Mn 2.7885 0.0577 9.2963
Mn 0.9295 5.9333 0.8645
Mn 2.7885 0.8743 5.4639
Mn 2.7885 3.8371 8.0796
Mn 0.9295 5.1167 4.6970
Mo 0.9295 5.8623 7.2296
Mo 2.7885 0.1287 2.9313
Mo 2.7885 3.1505 3.8571
Mo 0.9295 2.8405 6.3038
Mo 0.9295 2.1054 9.3188
Mo 2.7885 3.8856 0.8420
P 2.7885 1.4544 0.9062
P 0.9295 4.3656 2.5478
P 2.7885 1.6254 7.6131
P 0.9295 4.5366 9.2547
P 0.9295 1.3942 4.2555
P 2.7885 4.5968 5.9054

---

2.
! KBa2CdPd | Alexandria | PBE | relaxed; values from VASP
! Space group: P4/mmm
! Formation energy: -0.23 eV/atom
! Energy relative to the lowest polymorph listed for this composition: 0 meV/atom
&SYSTEM
  ibrav = 0, nat = 5, ntyp = 4
/
ATOMIC_SPECIES
K 39.10 K.upf
Ba 137.33 Ba.upf
Cd 112.41 Cd.upf
Pd 106.42 Pd.upf
CELL_PARAMETERS angstrom
-2.9417 -5.4893 0.5995
5.5063 -2.8649 0.7864
-0.3677 0.7941 5.4676
ATOMIC_POSITIONS angstrom
K 1.0985 -3.7800 3.4267
Ba -1.4708 -2.7447 0.2997
Ba 2.7532 -1.4324 0.3932
Cd -0.1838 0.3971 2.7338
Pd 0.0000 0.0000 0.0000

---

3.
! Pm4Si3Ge5 | Alexandria | PBE | relaxed; values from VASP
! Space group: C2/m
! Energy relative to the elements, uncorrected: -275 meV per atom
&SYSTEM
  ibrav = 0, nat = 12, ntyp = 3
/
ATOMIC_SPECIES
Si 28.09 Si.upf
Ge 72.64 Ge.upf
Pm 145.00 Pm.upf
CELL_PARAMETERS angstrom
4.4555 0.0000 0.0000
2.2277 7.4533 -1.4636
2.2277 0.6677 8.8608
ATOMIC_POSITIONS angstrom
Si 2.2277 4.0605 3.6986
Si 4.4555 6.4194 1.4054
Si 4.4555 1.7016 5.9919
Ge 6.6833 5.0437 6.1089
Ge 2.2277 3.0773 1.2883
Ge 4.4555 4.0605 3.6986
Ge 2.2277 0.5804 1.0944
Ge 6.6832 7.5406 6.3028
Pm 2.2277 5.5546 -0.5729
Pm 4.4555 6.9128 4.3309
Pm 6.6832 2.5664 7.9701
Pm 4.4555 1.2082 3.0663

---

no.,calculated total energy (eV per atom)
1,-9.00
2,-2.44
3,-5.14